Model P:
Compound: SrCo2Os
Source: Alexandria via LeMat-Bulk
Functional: PBEsol
Structure: relaxed

## Properties
Crystal system: cubic
Space group: No. 225
Total magnetization, μB/f.u.: 4.3
Calculated volume, Å³ per cell: 62.4

Cell and atoms, written as CIF:
```
data_SrCo2Os
_cell_length_a 4.452
_cell_length_b 4.452
_cell_length_c 4.452
_cell_angle_alpha 60.00
_cell_angle_beta 60.00
_cell_angle_gamma 60.00
_space_group_name_H-M_alt 'P 1'
_space_group_IT_number 1
loop_
_space_group_symop_operation_xyz
'x,y,z'
loop_
_atom_site_label
_atom_site_type_symbol
_atom_site_fract_x
_atom_site_fract_y
_atom_site_fract_z
Co1 Co 0.750 0.750 0.750
Sr1 Sr 0.500 0.500 0.500
Co2 Co 0.250 0.250 0.250
Os1 Os 0.000 0.000 0.000
```



Model Q:
Compound: SrCo2Os
Source: Alexandria via LeMat-Bulk
Functional: PBEsol
Structure: relaxed

## Properties
Crystal system: tetragonal
Space group: No. 123
Total magnetization, μB/f.u.: 0.4
Calculated volume, Å³ per cell: 61.3

Cell and atoms, written as CIF:
```
data_SrCo2Os
_cell_length_a 2.845
_cell_length_b 2.845
_cell_length_c 7.577
_cell_angle_alpha 90.00
_cell_angle_beta 90.00
_cell_angle_gamma 90.00
_space_group_name_H-M_alt 'P 1'
_space_group_IT_number 1
loop_
_space_group_symop_operation_xyz
'x,y,z'
loop_
_atom_site_label
_atom_site_type_symbol
_atom_site_fract_x
_atom_site_fract_y
_atom_site_fract_z
Sr1 Sr 0.500 0.500 0.500
Co1 Co 0.000 0.000 0.807
Os1 Os 0.500 0.500 0.000
Co2 Co 0.000 0.000 0.193
```



Of them, the most stable is model Q and the least stable is model P.



Model P:
Compound: Co2TcOs
Source: Alexandria via LeMat-Bulk
Functional: PBEsol
Structure: relaxed

## Properties
Crystal system: orthorhombic
Space group: No. 38
Total magnetization, μB/f.u.: 0.0
Calculated volume, Å³ per cell: 47.5

Cell and atoms, written as CIF:
```
data_Co2TcOs
_cell_length_a 2.563
_cell_length_b 3.938
_cell_length_c 4.881
_cell_angle_alpha 90.00
_cell_angle_beta 105.22
_cell_angle_gamma 90.00
_space_group_name_H-M_alt 'P 1'
_space_group_IT_number 1
loop_
_space_group_symop_operation_xyz
'x,y,z'
loop_
_atom_site_label
_atom_site_type_symbol
_atom_site_fract_x
_atom_site_fract_y
_atom_site_fract_z
Co1 Co 0.057 0.500 0.113
Tc1 Tc 0.792 0.500 0.584
Os1 Os 0.456 0.000 0.912
Co2 Co 0.189 0.000 0.378
```



Model Q:
Compound: Co2TcOs
Source: Alexandria via LeMat-Bulk
Functional: PBEsol
Structure: relaxed

## Properties
Crystal system: orthorhombic
Space group: No. 35
Total magnetization, μB/f.u.: 3.4
Calculated volume, Å³ per cell: 50.7

Cell and atoms, written as CIF:
```
data_Co2TcOs
_cell_length_a 2.575
_cell_length_b 2.575
_cell_length_c 8.448
_cell_angle_alpha 90.00
_cell_angle_beta 90.00
_cell_angle_gamma 115.16
_space_group_name_H-M_alt 'P 1'
_space_group_IT_number 1
loop_
_space_group_symop_operation_xyz
'x,y,z'
loop_
_atom_site_label
_atom_site_type_symbol
_atom_site_fract_x
_atom_site_fract_y
_atom_site_fract_z
Tc1 Tc 0.500 0.500 0.240
Co1 Co 0.500 0.500 0.762
Os1 Os 0.000 0.000 0.509
Co2 Co 0.000 0.000 0.990
```



Of them, the most stable is model P and the least stable is model Q.



Model P:
Compound: CoTcOs
Source: Alexandria via LeMat-Bulk
Functional: PBEsol
Structure: relaxed

## Properties
Crystal system: orthorhombic
Space group: No. 42
Total magnetization, μB/f.u.: 1.7
Calculated volume, Å³ per cell: 39.6

Cell and atoms, written as CIF:
```
data_CoTcOs
_cell_length_a 2.602
_cell_length_b 2.602
_cell_length_c 6.645
_cell_angle_alpha 96.36
_cell_angle_beta 96.36
_cell_angle_gamma 115.72
_space_group_name_H-M_alt 'P 1'
_space_group_IT_number 1
loop_
_space_group_symop_operation_xyz
'x,y,z'
loop_
_atom_site_label
_atom_site_type_symbol
_atom_site_fract_x
_atom_site_fract_y
_atom_site_fract_z
Os1 Os 0.336 0.336 0.673
Co1 Co 0.001 0.001 0.002
Tc1 Tc 0.663 0.663 0.325
```



Model Q:
Compound: CoTcOs
Source: Alexandria via LeMat-Bulk
Functional: PBEsol
Structure: relaxed

## Properties
Crystal system: tetragonal
Space group: No. 107
Total magnetization, μB/f.u.: 1.1
Calculated volume, Å³ per cell: 38.6

Cell and atoms, written as CIF:
```
data_CoTcOs
_cell_length_a 3.067
_cell_length_b 3.067
_cell_length_c 4.637
_cell_angle_alpha 109.32
_cell_angle_beta 109.32
_cell_angle_gamma 90.00
_space_group_name_H-M_alt 'P 1'
_space_group_IT_number 1
loop_
_space_group_symop_operation_xyz
'x,y,z'
loop_
_atom_site_label
_atom_site_type_symbol
_atom_site_fract_x
_atom_site_fract_y
_atom_site_fract_z
Co1 Co 0.999 0.999 0.997
Os1 Os 0.661 0.661 0.322
Tc1 Tc 0.340 0.340 0.681
```



Of them, the most stable is model Q and the least stable is model P.



Model P:
Compound: CoTe2Os
Source: Alexandria via LeMat-Bulk
Functional: PBEsol
Structure: relaxed

## Properties
Crystal system: tetragonal
Space group: No. 123
Total magnetization, μB/f.u.: 1.3
Calculated volume, Å³ per cell: 69.2

Cell and atoms, written as CIF:
```
data_CoTe2Os
_cell_length_a 3.222
_cell_length_b 4.635
_cell_length_c 4.635
_cell_angle_alpha 90.00
_cell_angle_beta 90.00
_cell_angle_gamma 90.00
_space_group_name_H-M_alt 'P 1'
_space_group_IT_number 1
loop_
_space_group_symop_operation_xyz
'x,y,z'
loop_
_atom_site_label
_atom_site_type_symbol
_atom_site_fract_x
_atom_site_fract_y
_atom_site_fract_z
Te1 Te 0.000 0.500 0.000
Te2 Te 0.000 0.000 0.500
Co1 Co 0.500 0.500 0.500
Os1 Os 0.500 0.000 0.000
```



Model Q:
Compound: CoTe2Os
Source: Alexandria via LeMat-Bulk
Functional: PBEsol
Structure: relaxed

## Properties
Crystal system: trigonal
Space group: No. 166
Total magnetization, μB/f.u.: 0.0
Calculated volume, Å³ per cell: 77.2

Cell and atoms, written as CIF:
```
data_CoTe2Os
_cell_length_a 3.314
_cell_length_b 3.314
_cell_length_c 8.342
_cell_angle_alpha 78.54
_cell_angle_beta 78.54
_cell_angle_gamma 60.00
_space_group_name_H-M_alt 'P 1'
_space_group_IT_number 1
loop_
_space_group_symop_operation_xyz
'x,y,z'
loop_
_atom_site_label
_atom_site_type_symbol
_atom_site_fract_x
_atom_site_fract_y
_atom_site_fract_z
Te1 Te 0.897 0.897 0.308
Te2 Te 0.103 0.103 0.692
Co1 Co 0.500 0.500 0.500
Os1 Os 0.000 0.000 0.000
```



Of them, the most stable is model P and the least stable is model Q.



Model P:
Compound: Tl2CoOs
Source: Alexandria via LeMat-Bulk
Functional: PBEsol
Structure: relaxed

## Properties
Crystal system: orthorhombic
Space group: No. 47
Total magnetization, μB/f.u.: 1.2
Calculated volume, Å³ per cell: 69.9

Cell and atoms, written as CIF:
```
data_Tl2CoOs
_cell_length_a 3.102
_cell_length_b 4.422
_cell_length_c 5.097
_cell_angle_alpha 90.00
_cell_angle_beta 90.00
_cell_angle_gamma 90.00
_space_group_name_H-M_alt 'P 1'
_space_group_IT_number 1
loop_
_space_group_symop_operation_xyz
'x,y,z'
loop_
_atom_site_label
_atom_site_type_symbol
_atom_site_fract_x
_atom_site_fract_y
_atom_site_fract_z
Co1 Co 0.500 0.500 0.000
Tl1 Tl 0.500 0.000 0.500
Os1 Os 0.000 0.500 0.500
Tl2 Tl 0.000 0.000 0.000
```



Model Q:
Compound: Tl2CoOs
Source: Alexandria via LeMat-Bulk
Functional: PBEsol
Structure: relaxed

## Properties
Crystal system: tetragonal
Space group: No. 99
Total magnetization, μB/f.u.: 0.0
Calculated volume, Å³ per cell: 73.7

Cell and atoms, written as CIF:
```
data_Tl2CoOs
_cell_length_a 2.915
_cell_length_b 2.915
_cell_length_c 8.672
_cell_angle_alpha 90.00
_cell_angle_beta 90.00
_cell_angle_gamma 90.00
_space_group_name_H-M_alt 'P 1'
_space_group_IT_number 1
loop_
_space_group_symop_operation_xyz
'x,y,z'
loop_
_atom_site_label
_atom_site_type_symbol
_atom_site_fract_x
_atom_site_fract_y
_atom_site_fract_z
Os1 Os 0.500 0.500 0.696
Tl1 Tl 0.000 0.000 0.956
Co1 Co 0.000 0.000 0.545
Tl2 Tl 0.500 0.500 0.303
```



Model R:
Compound: Tl2CoOs
Source: Alexandria via LeMat-Bulk
Functional: PBEsol
Structure: relaxed

## Properties
Crystal system: orthorhombic
Space group: No. 71
Total magnetization, μB/f.u.: 0.7
Calculated volume, Å³ per cell: 68.4

Cell and atoms, written as CIF:
```
data_Tl2CoOs
_cell_length_a 3.133
_cell_length_b 5.042
_cell_length_c 5.249
_cell_angle_alpha 118.70
_cell_angle_beta 107.37
_cell_angle_gamma 90.00
_space_group_name_H-M_alt 'P 1'
_space_group_IT_number 1
loop_
_space_group_symop_operation_xyz
'x,y,z'
loop_
_atom_site_label
_atom_site_type_symbol
_atom_site_fract_x
_atom_site_fract_y
_atom_site_fract_z
Os1 Os 0.000 0.500 0.000
Tl1 Tl 0.235 0.235 0.470
Tl2 Tl 0.765 0.765 0.530
Co1 Co 0.500 0.000 0.000
```



Model S:
Compound: Tl2CoOs
Source: Alexandria via LeMat-Bulk
Functional: PBEsol
Structure: relaxed

## Properties
Crystal system: tetragonal
Space group: No. 119
Total magnetization, μB/f.u.: 2.3
Calculated volume, Å³ per cell: 68.6

Cell and atoms, written as CIF:
```
data_Tl2CoOs
_cell_length_a 3.927
_cell_length_b 3.927
_cell_length_c 5.244
_cell_angle_alpha 111.99
_cell_angle_beta 111.99
_cell_angle_gamma 90.00
_space_group_name_H-M_alt 'P 1'
_space_group_IT_number 1
loop_
_space_group_symop_operation_xyz
'x,y,z'
loop_
_atom_site_label
_atom_site_type_symbol
_atom_site_fract_x
_atom_site_fract_y
_atom_site_fract_z
Tl1 Tl 0.000 0.000 0.000
Os1 Os 0.250 0.750 0.500
Tl2 Tl 0.750 0.250 0.500
Co1 Co 0.500 0.500 0.000
```



Of them, the most stable is model Q and the least stable is model P.



Model P:
Compound: CoOs2W
Source: Alexandria via LeMat-Bulk
Functional: PBEsol
Structure: relaxed

## Properties
Crystal system: tetragonal
Space group: No. 123
Total magnetization, μB/f.u.: 0.0
Calculated volume, Å³ per cell: 53.9

Cell and atoms, written as CIF:
```
data_CoOs2W
_cell_length_a 2.703
_cell_length_b 2.703
_cell_length_c 7.382
_cell_angle_alpha 90.00
_cell_angle_beta 90.00
_cell_angle_gamma 90.00
_space_group_name_H-M_alt 'P 1'
_space_group_IT_number 1
loop_
_space_group_symop_operation_xyz
'x,y,z'
loop_
_atom_site_label
_atom_site_type_symbol
_atom_site_fract_x
_atom_site_fract_y
_atom_site_fract_z
W1 W 0.500 0.500 0.000
Os1 Os 0.000 0.000 0.732
Co1 Co 0.500 0.500 0.500
Os2 Os 0.000 0.000 0.268
```



Model Q:
Compound: CoOs2W
Source: Alexandria via LeMat-Bulk
Functional: PBEsol
Structure: relaxed

## Properties
Crystal system: tetragonal
Space group: No. 123
Total magnetization, μB/f.u.: 0.0
Calculated volume, Å³ per cell: 53.6

Cell and atoms, written as CIF:
```
data_CoOs2W
_cell_length_a 3.754
_cell_length_b 3.780
_cell_length_c 3.780
_cell_angle_alpha 90.00
_cell_angle_beta 90.00
_cell_angle_gamma 90.00
_space_group_name_H-M_alt 'P 1'
_space_group_IT_number 1
loop_
_space_group_symop_operation_xyz
'x,y,z'
loop_
_atom_site_label
_atom_site_type_symbol
_atom_site_fract_x
_atom_site_fract_y
_atom_site_fract_z
Co1 Co 0.500 0.000 0.000
Os1 Os 0.000 0.500 0.000
Os2 Os 0.000 0.000 0.500
W1 W 0.500 0.500 0.500
```



Of them, the most stable is model Q and the least stable is model P.



Model P:
Compound: YCoOs2
Source: Alexandria via LeMat-Bulk
Functional: PBEsol
Structure: relaxed

## Properties
Crystal system: tetragonal
Space group: No. 123
Total magnetization, μB/f.u.: 0.0
Calculated volume, Å³ per cell: 61.1

Cell and atoms, written as CIF:
```
data_YCoOs2
_cell_length_a 2.856
_cell_length_b 2.856
_cell_length_c 7.493
_cell_angle_alpha 90.00
_cell_angle_beta 90.00
_cell_angle_gamma 90.00
_space_group_name_H-M_alt 'P 1'
_space_group_IT_number 1
loop_
_space_group_symop_operation_xyz
'x,y,z'
loop_
_atom_site_label
_atom_site_type_symbol
_atom_site_fract_x
_atom_site_fract_y
_atom_site_fract_z
Y1 Y 0.500 0.500 0.000
Os1 Os 0.000 0.000 0.304
Co1 Co 0.500 0.500 0.500
Os2 Os 0.000 0.000 0.696
```



Model Q:
Compound: YCoOs2
Source: Alexandria via LeMat-Bulk
Functional: PBEsol
Structure: relaxed

## Properties
Crystal system: tetragonal
Space group: No. 123
Total magnetization, μB/f.u.: 0.0
Calculated volume, Å³ per cell: 61.4

Cell and atoms, written as CIF:
```
data_YCoOs2
_cell_length_a 3.793
_cell_length_b 3.793
_cell_length_c 4.268
_cell_angle_alpha 90.00
_cell_angle_beta 90.00
_cell_angle_gamma 90.00
_space_group_name_H-M_alt 'P 1'
_space_group_IT_number 1
loop_
_space_group_symop_operation_xyz
'x,y,z'
loop_
_atom_site_label
_atom_site_type_symbol
_atom_site_fract_x
_atom_site_fract_y
_atom_site_fract_z
Y1 Y 0.500 0.500 0.500
Os1 Os 0.500 0.000 0.000
Co1 Co 0.000 0.000 0.500
Os2 Os 0.000 0.500 0.000
```



Of them, the most stable is model P and the least stable is model Q.



Model P:
Compound: Zr2CoOs
Source: Alexandria via LeMat-Bulk
Functional: PBEsol
Structure: relaxed

## Properties
Crystal system: cubic
Space group: No. 225
Total magnetization, μB/f.u.: 0.9
Calculated volume, Å³ per cell: 65.9

Cell and atoms, written as CIF:
```
data_Zr2CoOs
_cell_length_a 4.534
_cell_length_b 4.534
_cell_length_c 4.534
_cell_angle_alpha 60.00
_cell_angle_beta 60.00
_cell_angle_gamma 60.00
_space_group_name_H-M_alt 'P 1'
_space_group_IT_number 1
loop_
_space_group_symop_operation_xyz
'x,y,z'
loop_
_atom_site_label
_atom_site_type_symbol
_atom_site_fract_x
_atom_site_fract_y
_atom_site_fract_z
Zr1 Zr 0.250 0.250 0.250
Co1 Co 0.000 0.000 0.000
Zr2 Zr 0.750 0.750 0.750
Os1 Os 0.500 0.500 0.500
```



Model Q:
Compound: Zr2CoOs
Source: Alexandria via LeMat-Bulk
Functional: PBEsol
Structure: relaxed

## Properties
Crystal system: tetragonal
Space group: No. 123
Total magnetization, μB/f.u.: 0.9
Calculated volume, Å³ per cell: 65.8

Cell and atoms, written as CIF:
```
data_Zr2CoOs
_cell_length_a 3.200
_cell_length_b 4.535
_cell_length_c 4.535
_cell_angle_alpha 90.00
_cell_angle_beta 90.00
_cell_angle_gamma 90.00
_space_group_name_H-M_alt 'P 1'
_space_group_IT_number 1
loop_
_space_group_symop_operation_xyz
'x,y,z'
loop_
_atom_site_label
_atom_site_type_symbol
_atom_site_fract_x
_atom_site_fract_y
_atom_site_fract_z
Zr1 Zr 0.000 0.000 0.500
Zr2 Zr 0.000 0.500 0.000
Co1 Co 0.500 0.500 0.500
Os1 Os 0.500 0.000 0.000
```



Of them, the most stable is model P and the least stable is model Q.